This record from Alexandria via LeMat-Bulk describes an optimized crystal structure of Pa3BC2. The functional is PBE.

abc: 6.297 6.297 6.297
angles: 146.42 132.01 59.84
Atoms (fractional coordinates):
1 Pa 0.000 0.000 0.000
2 Pa 0.328 0.328 0.000
3 Pa 0.672 0.672 0.000
4 B 0.500 0.000 0.500
5 C 0.167 0.667 0.500
6 C 0.833 0.333 0.500

Summary:
The value obtained for the magnetization is 0.00 Bohr magnetons per cell. The formation energy comes out at -0.2829 eV per atom. The space group is Immm, No. 71. For the total energy, the calculation gives -9.22 eV per atom.


This record from Alexandria via LeMat-Bulk describes an optimized crystal structure of TbSm2Ag2Pb2. The functional is PBE.

abc: 9.226 9.226 9.226
angles: 31.23 31.23 31.23
Atoms (fractional coordinates):
1 Tb 0.000 0.000 0.000
2 Sm 0.135 0.135 0.135
3 Sm 0.865 0.865 0.865
4 Ag 0.439 0.439 0.439
5 Ag 0.561 0.561 0.561
6 Pb 0.269 0.269 0.269
7 Pb 0.731 0.731 0.731

Summary:
The value obtained for the magnetization is 0.00 Bohr magnetons per cell. The formation energy comes out at -0.2628 eV per atom. The space group is R-3m, No. 166. For the total energy, the calculation gives -4.15 eV per atom.


This record from Alexandria via LeMat-Bulk describes an optimized crystal structure of K6Rb2AgO. The functional is PBE.

abc: 8.640 8.640 8.995
angles: 112.50 112.50 90.91
Atoms (fractional coordinates):
1 K 0.000 0.000 0.000
2 K 0.062 0.062 0.575
3 K 0.405 0.986 0.960
4 K 0.415 0.415 0.028
5 K 0.516 0.516 0.644
6 K 0.986 0.405 0.960
7 Rb 0.523 0.934 0.447
8 Rb 0.934 0.523 0.447
9 Ag 0.750 0.750 0.134
10 O 0.168 0.168 0.907

Summary:
The value obtained for the magnetization is 0.00 Bohr magnetons per cell. The value obtained for the uncorrected formation energy is -25.4 kJ per mole of atoms. The space group is Cm, No. 8. For the total energy, the calculation gives -1.90 eV per atom.


This record from Alexandria via LeMat-Bulk describes an optimized crystal structure of Na4ScTl5. The functional is PBE.

abc: 3.548 3.548 21.748
angles: 90.00 90.00 90.00
Atoms (fractional coordinates):
1 Na 0.000 0.000 0.106
2 Na 0.000 0.000 0.314
3 Na 0.000 0.000 0.686
4 Na 0.000 0.000 0.894
5 Sc 0.000 0.000 0.500
6 Tl 0.500 0.500 0.000
7 Tl 0.500 0.500 0.211
8 Tl 0.500 0.500 0.414
9 Tl 0.500 0.500 0.586
10 Tl 0.500 0.500 0.789

Summary:
The value obtained for the magnetization is 0.17 Bohr magnetons per cell. The formation energy comes out at -0.1320 eV per atom. The space group is P4/mmm, No. 123. For the total energy, the calculation gives -2.48 eV per atom.


This record from Alexandria via LeMat-Bulk describes an optimized crystal structure of Tb2CeNdHo4. The functional is PBE.

abc: 6.150 3.550 11.762
angles: 90.00 100.06 90.00
Atoms (fractional coordinates):
1 Tb 0.000 0.000 0.000
2 Tb 0.000 0.500 0.500
3 Ce 0.500 0.000 0.500
4 Nd 0.500 0.500 0.000
5 Ho 0.252 0.000 0.748
6 Ho 0.254 0.500 0.253
7 Ho 0.746 0.500 0.747
8 Ho 0.748 0.000 0.252

Summary:
The value obtained for the magnetization is 0.84 Bohr magnetons per cell. The formation energy comes out at 0.0397 eV per atom. The space group is P2/m, No. 10. For the total energy, the calculation gives -4.74 eV per atom.


This record from Alexandria via LeMat-Bulk describes an optimized crystal structure of BTeMoN2. The functional is PBE.

abc: 3.734 3.734 4.552
angles: 90.00 90.00 90.00
Atoms (fractional coordinates):
1 B 0.000 0.000 0.000
2 Te 0.000 0.000 0.500
3 Mo 0.500 0.500 0.500
4 N 0.000 0.500 0.000
5 N 0.500 0.000 0.000

Summary:
The offset from the most stable computed form is 840.7 meV/atom. The value obtained for the magnetization is 0.70 Bohr magnetons per cell. The value obtained for the uncorrected formation energy is 187.0 kJ per mole of atoms. The space group is P4/mmm, No. 123. For the total energy, the calculation gives -5.52 eV per atom.


This record from Alexandria via LeMat-Bulk describes an optimized crystal structure of HgAs2Ru. The functional is PBE.

abc: 3.010 3.010 8.319
angles: 90.00 90.00 90.00
Atoms (fractional coordinates):
1 Hg 0.000 0.000 0.000
2 As 0.000 0.000 0.408
3 As 0.500 0.500 0.713
4 Ru 0.500 0.500 0.250

Summary:
The value obtained for the magnetization is 0.00 Bohr magnetons per cell. The formation energy comes out at 0.1958 eV per atom. The space group is P4mm, No. 99. For the total energy, the calculation gives -4.52 eV per atom.


This record from Alexandria via LeMat-Bulk describes an optimized crystal structure of La2TbNdSe6. The functional is PBE.

abc: 7.882 7.882 7.882
angles: 56.96 56.96 56.96
Atoms (fractional coordinates):
1 La 0.000 0.000 0.000
2 La 0.498 0.498 0.498
3 Tb 0.702 0.702 0.702
4 Nd 0.205 0.205 0.205
5 Se 0.082 0.416 0.815
6 Se 0.318 0.905 0.593
7 Se 0.416 0.815 0.082
8 Se 0.593 0.318 0.905
9 Se 0.815 0.082 0.416
10 Se 0.905 0.593 0.318

Summary:
The value obtained for the magnetization is 0.00 Bohr magnetons per cell. The value obtained for the uncorrected formation energy is -184.6 kJ per mole of atoms. The space group is R3, No. 146. For the total energy, the calculation gives -5.93 eV per atom.


This record from Alexandria via LeMat-Bulk describes an optimized crystal structure of GdPuBi2. The functional is PBE.

abc: 5.860 5.860 3.432
angles: 90.00 90.00 90.00
Atoms (fractional coordinates):
1 Gd 0.000 0.000 0.000
2 Pu 0.500 0.500 0.000
3 Bi 0.000 0.500 0.500
4 Bi 0.500 0.000 0.500

Summary:
The offset from the most stable computed form is 71.3 meV/atom. The value obtained for the magnetization is 13.32 Bohr magnetons per cell. The formation energy comes out at -0.5408 eV per atom. The space group is P4/mmm, No. 123. For the total energy, the calculation gives -9.58 eV per atom.


This record from Alexandria via LeMat-Bulk describes an optimized crystal structure of AlAsOs2. The functional is PBE.

abc: 4.350 2.936 4.983
angles: 90.00 113.74 90.00
Atoms (fractional coordinates):
1 Al 0.000 0.000 0.000
2 As 0.000 0.500 0.500
3 Os 0.500 0.000 0.500
4 Os 0.500 0.500 0.000

Summary:
The offset from the most stable computed form is 114.0 meV/atom. The value obtained for the magnetization is 0.00 Bohr magnetons per cell. The formation energy comes out at 0.0720 eV per atom. The space group is P2/m, No. 10. For the total energy, the calculation gives -7.64 eV per atom.


This record from Alexandria via LeMat-Bulk describes an optimized crystal structure of NpInPb2. The functional is PBE.

abc: 4.020 4.020 6.938
angles: 90.00 90.00 90.00
Atoms (fractional coordinates):
1 Np 0.000 0.000 0.000
2 In 0.000 0.000 0.500
3 Pb 0.500 0.500 0.261
4 Pb 0.500 0.500 0.739

Summary:
The offset from the most stable computed form is 154.9 meV/atom. The value obtained for the magnetization is 4.73 Bohr magnetons per cell. The formation energy comes out at 0.2226 eV per atom. The space group is P4/mmm, No. 123. For the total energy, the calculation gives -5.55 eV per atom.


This record from Alexandria via LeMat-Bulk describes an optimized crystal structure of MnCu2P. The functional is PBE.

abc: 3.283 3.283 4.845
angles: 90.00 90.00 90.00
Atoms (fractional coordinates):
1 Mn 0.000 0.000 0.000
2 Cu 0.500 0.500 0.252
3 Cu 0.500 0.500 0.748
4 P 0.000 0.000 0.500

Summary:
The value obtained for the magnetization is 3.60 Bohr magnetons per cell. The formation energy comes out at 0.0824 eV per atom. The space group is P4/mmm, No. 123. For the total energy, the calculation gives -5.61 eV per atom.